1.
Tl3VMo | PBE-GGA | optimized geometry

Summary:
formation energy from the elements = 1.202 eV/atom
E above lowest polymorph = 0.0 meV per atom
DFT total energy = -4.2076 eV/atom
density of states at the Fermi level = 1.2453 states/eV/atom

Cell: 5.3622 5.3622 5.3622 Å, 90.00 90.00 90.00°
Each line ends with the local moment (μB).
Atoms (fractional coordinates):
Tl1 0.0000 0.5000 0.0000  -0.01
Tl2 0.0000 0.0000 0.5000  -0.01
Tl3 0.5000 0.0000 0.0000  -0.01
Mo1 0.0000 0.0000 0.0000  -1.22
V1 0.5000 0.5000 0.5000  3.20

2.
TlV2Mo | PBE-GGA | optimized geometry

Summary:
formation energy from the elements = 0.831 eV/atom
E above lowest polymorph = 430.3 meV per atom
DFT total energy = -7.0275 eV/atom
density of states at the Fermi level = 1.2638 states/eV/atom

Cell: 7.1914 7.1914 5.7891 Å, 51.60 51.60 90.00°
Atoms (fractional coordinates):
Tl1 0.0000 0.0000 0.0000
Tl2 0.7500 0.2500 0.5000
Mo1 0.5000 0.5000 0.0000
Mo2 0.2500 0.7500 0.5000
V1 0.5830 0.1250 0.2500
V2 0.1670 0.6250 0.2500
V3 0.3750 0.4170 0.7500
V4 0.8750 0.8330 0.7500

3.
TlVMo2 | PBE-GGA | optimized geometry

Summary:
formation energy from the elements = 0.607 eV/atom
E above lowest polymorph = 0.0 meV per atom
DFT total energy = -7.6794 eV/atom
density of states at the Fermi level = 1.5831 states/eV/atom

Cell: 4.5648 4.5648 4.5648 Å, 60.00 60.00 60.00°
Atoms (fractional coordinates):
Tl1 0.5000 0.5000 0.5000
Mo1 0.2500 0.2500 0.2500
Mo2 0.7500 0.7500 0.7500
V1 0.0000 0.0000 0.0000